Entry w
Entry from the Alexandria database: a geometry-optimized Ca2Ga7Au structure (GGA-PBE).

Values from the calculation:
- DOS(E_F): 1.6 states/eV/f.u.
- Total magnetic moment: 0.0000 μB/atom
- Calculated volume: 20.5 A^3/atom

Unit cell a=4.3308 b=4.3308 c=10.9162 alpha=90.00 beta=90.00 gamma=90.00
Closest atoms and distances in Å follow each position.
Sites, in units of the cell vectors:
Ca  0.0000  0.5000  0.2470  14 Ga 3.29-3.51, 2 Au 3.46
Ca  0.5000  0.0000  0.7530  14 Ga 3.29-3.51, 2 Au 3.46
Ga  0.0000  0.0000  0.0000  4 Ga 2.63
Ga  0.0000  0.0000  0.5000  4 Ga 2.63
Ga  0.0000  0.5000  0.6360  5 Ga 2.48-2.63
Ga  0.0000  0.5000  0.8628  3 Ga 2.48-2.63, 2 Au 2.63
Ga  0.5000  0.0000  0.1372  3 Ga 2.48-2.63, 2 Au 2.63
Ga  0.5000  0.0000  0.3640  5 Ga 2.48-2.63
Ga  0.5000  0.5000  0.5000  4 Ga 2.63
Au  0.5000  0.5000  0.0000  4 Ga 2.63

---

Entry x
Entry from the Alexandria database: a geometry-optimized Ca2Ga7Au structure (GGA-PBE).

Values from the calculation:
- DOS(E_F): 2.2 states/eV/f.u.
- Total magnetic moment: 0.0000 μB/atom
- Calculated volume: 20.5 A^3/atom

Unit cell a=4.2526 b=4.2526 c=11.3310 alpha=90.00 beta=90.00 gamma=90.00
Closest atoms and distances in Å follow each position.
Sites, in units of the cell vectors:
Ca  0.0000  0.0000  0.0000  16 Ga 3.25-3.52
Ca  0.5000  0.5000  0.4987  4 Au 3.25, 12 Ga 3.27-3.58
Ga  0.0000  0.0000  0.3853  1 Au 2.53, 4 Ga 2.64
Ga  0.0000  0.5000  0.2474  4 Ga 2.64
Ga  0.0000  0.5000  0.7525  2 Ga 2.64, 2 Au 2.68
Ga  0.5000  0.0000  0.2474  4 Ga 2.64
Ga  0.5000  0.0000  0.7525  2 Ga 2.64, 2 Au 2.68
Ga  0.5000  0.5000  0.1099  5 Ga 2.48-2.64
Ga  0.5000  0.5000  0.8909  5 Ga 2.48-2.64
Au  0.0000  0.0000  0.6086  5 Ga 2.53-2.68

---

Preferred: entry x; penalty for the next structure: 0.015 eV/atom.

---

Entry w
Entry from the Alexandria database: a geometry-optimized CaGa2Au4 structure (GGA-PBE).

Values from the calculation:
- DOS(E_F): 2.5 states/eV/f.u.
- Total magnetic moment: 0.0000 μB/atom
- Calculated volume: 19.4 A^3/atom

Unit cell a=5.6658 b=5.6658 c=5.4486 alpha=118.20 beta=118.20 gamma=77.84
Closest atoms and distances in Å follow each position.
Sites, in units of the cell vectors:
Ca  0.0000  0.0000  0.0000  4 Au 3.00
Ga  0.4968  0.4968  0.2485  2 Ga 2.71-2.74, 8 Au 2.87-2.93
Ga  0.5032  0.5032  0.7515  2 Ga 2.71-2.74, 8 Au 2.87-2.93
Au  0.0032  0.4001  0.7022  4 Au 2.83-2.90, 4 Ga 2.87-2.93, 1 Ca 3.00
Au  0.4001  0.0032  0.7022  4 Au 2.83-2.90, 4 Ga 2.87-2.93, 1 Ca 3.00
Au  0.5999  0.9968  0.2978  4 Au 2.83-2.90, 4 Ga 2.87-2.93, 1 Ca 3.00
Au  0.9968  0.5999  0.2978  4 Au 2.83-2.90, 4 Ga 2.87-2.93, 1 Ca 3.00

---

Entry x
Entry from the Alexandria database: a geometry-optimized CaGa2Au4 structure (GGA-PBE).

Values from the calculation:
- DOS(E_F): 2.5 states/eV/f.u.
- Total magnetic moment: 0.0000 μB/atom
- Calculated volume: 19.8 A^3/atom

Unit cell a=5.1088 b=16.5727 c=8.1799 alpha=90.00 beta=127.00 gamma=90.00
Closest atoms and distances in Å follow each position.
Sites, in units of the cell vectors:
Ca  0.1275  0.1466  0.4074  10 Au 3.07-3.40, 3 Ga 3.32-3.42
Ca  0.1275  0.3534  0.9074  10 Au 3.07-3.40, 3 Ga 3.32-3.42
Ca  0.8725  0.6466  0.0925  10 Au 3.07-3.40, 3 Ga 3.32-3.42
Ca  0.8725  0.8534  0.5926  10 Au 3.07-3.40, 3 Ga 3.32-3.42
Ga  0.1863  0.0355  0.8122  6 Au 2.65-2.79
Ga  0.1863  0.4645  0.3122  6 Au 2.65-2.79
Ga  0.4169  0.7121  0.5969  4 Au 2.55-2.76
Ga  0.4169  0.7879  0.0969  4 Au 2.55-2.76
Ga  0.5831  0.2121  0.9031  4 Au 2.55-2.76
Ga  0.5831  0.2879  0.4031  4 Au 2.55-2.76
Ga  0.8137  0.5355  0.6878  6 Au 2.65-2.79
Ga  0.8137  0.9645  0.1878  6 Au 2.65-2.79
Au  0.1091  0.6821  0.8119  2 Ga 2.56-2.71
Au  0.1091  0.8179  0.3119  2 Ga 2.56-2.71
Au  0.2063  0.5691  0.5651  4 Ga 2.55-2.79, 1 Au 2.85
Au  0.2063  0.9309  0.0651  4 Ga 2.55-2.79, 1 Au 2.85
Au  0.3483  0.5369  0.0843  2 Ga 2.71-2.73, 4 Au 2.89-2.99
Au  0.3483  0.9631  0.5843  2 Ga 2.71-2.73, 4 Au 2.89-2.99
Au  0.3609  0.1772  0.1307  2 Ga 2.56-2.76
Au  0.3609  0.3228  0.6307  2 Ga 2.56-2.76
Au  0.6391  0.6772  0.3693  2 Ga 2.56-2.76
Au  0.6391  0.8228  0.8693  2 Ga 2.56-2.76
Au  0.6517  0.0369  0.4157  2 Ga 2.71-2.73, 4 Au 2.89-2.99
Au  0.6517  0.4631  0.9157  2 Ga 2.71-2.73, 4 Au 2.89-2.99
Au  0.7937  0.0691  0.9349  4 Ga 2.55-2.79, 1 Au 2.85
Au  0.7937  0.4309  0.4349  4 Ga 2.55-2.79, 1 Au 2.85
Au  0.8909  0.1821  0.6881  2 Ga 2.56-2.71
Au  0.8909  0.3179  0.1881  2 Ga 2.56-2.71

---

Preferred: entry x; penalty for the next structure: 0.038 eV/atom.

---

Entry w
Entry from the Alexandria database: a geometry-optimized CaGaAu4 structure (GGA-PBE).

Values from the calculation:
- DOS(E_F): 6.3 states/eV/f.u.
- Total magnetic moment: 0.0000 μB/atom
- Calculated volume: 20.9 A^3/atom

Unit cell a=5.6176 b=5.6176 c=5.6176 alpha=60.00 beta=60.00 gamma=60.00
Closest atoms and distances in Å follow each position.
Sites, in units of the cell vectors:
Ca  0.0000  0.0000  0.0000  12 Au 3.29, 4 Ga 3.44
Ga  0.2500  0.2500  0.2500  12 Au 3.29, 4 Ca 3.44
Au  0.1250  0.6250  0.6250  6 Au 2.81
Au  0.6250  0.1250  0.6250  6 Au 2.81
Au  0.6250  0.6250  0.1250  6 Au 2.81
Au  0.6250  0.6250  0.6250  6 Au 2.81

---

Entry x
Entry from the Alexandria database: a geometry-optimized CaGaAu4 structure (GGA-PBE).

Values from the calculation:
- DOS(E_F): 1.1 states/eV/f.u.
- Total magnetic moment: 0.0000 μB/atom
- Calculated volume: 20.1 A^3/atom

Unit cell a=7.5224 b=7.5224 c=5.4353 alpha=105.57 beta=105.57 gamma=55.29
Closest atoms and distances in Å follow each position.
Sites, in units of the cell vectors:
Ca  0.2091  0.2091  0.1530  10 Au 2.99-3.29, 1 Ga 3.21
Ca  0.7909  0.7909  0.8470  10 Au 2.99-3.29, 1 Ga 3.21
Ga  0.4574  0.4574  0.2319  6 Au 2.62-2.89, 1 Ga 2.79
Ga  0.5426  0.5426  0.7681  6 Au 2.62-2.89, 1 Ga 2.79
Au  0.0803  0.6827  0.4079  1 Ga 2.64, 2 Au 2.78-2.93
Au  0.1962  0.8038  0.0000  2 Ga 2.62, 1 Au 2.74
Au  0.3173  0.9197  0.5921  1 Ga 2.64, 2 Au 2.78-2.93
Au  0.3218  0.3218  0.7327  2 Ga 2.77-2.89, 4 Au 2.93-3.00, 2 Ca 3.05-3.09
Au  0.6782  0.6782  0.2673  2 Ga 2.77-2.89, 4 Au 2.93-3.00, 2 Ca 3.05-3.09
Au  0.6827  0.0803  0.4079  1 Ga 2.64, 2 Au 2.78-2.93
Au  0.8038  0.1962  0.0000  2 Ga 2.62, 1 Au 2.74
Au  0.9197  0.3173  0.5921  1 Ga 2.64, 2 Au 2.78-2.93

---

Preferred: entry x; penalty for the next structure: 0.080 eV/atom.